Below is TiAsRu2 after structural relaxation, with properties calculated at the GGA-PBE level.

```
TiAsRu2
1.0
-3.022 -0.330 -0.666
0.680 -0.100 -3.036
0.585 -6.021 0.329
Ru As Ti
2 1 1
Direct
0.000 0.000 0.751
0.000 0.000 0.249
0.500 0.500 0.500
0.500 0.500 0.000
```

Summary:
* SG: P4/mmm
* density: 9.19 g/cm³
* V: 58.69 Å³/cell

Below is TiAsRu3 after structural relaxation, with properties calculated at the GGA-PBE level.

```
TiAsRu3
1.0
4.516 0.000 0.000
0.000 4.516 0.000
0.000 0.000 4.516
Ru As Ti
3 1 1
Direct
0.000 0.500 0.000
0.000 0.000 0.500
0.500 0.000 0.000
0.500 0.500 0.500
0.000 0.000 0.000
```

Summary:
* SG: Pm-3m
* density: 7.68 g/cm³
* distance to the lowest polymorph of the same formula: 592.3 meV per atom
* V: 92.13 Å³/cell

Number 1: ΔH_f (0 K) -1.6 eV/f.u.. Number 2: ΔH_f (0 K) 6.0 eV/f.u..